The following is a PBE calculation of a geometry-optimized MnCdW2 structure, from Alexandria via LeMat-Bulk.

Computed properties:
- Total energy: -8.45 eV per atom
- Spin magnetization: 5.7 Bohr magnetons per cell
- DOS at the Fermi energy: 6.74 states/eV/cell

The structure in CIF format:
```
data_MnCdW2
_space_group_name_H-M_alt 'C 1 m 1'
_space_group_IT_number 8
_cell_length_a 9.338
_cell_length_b 2.715
_cell_length_c 5.188
_cell_angle_alpha 90.00
_cell_angle_beta 96.40
_cell_angle_gamma 90.00
loop_
_space_group_symop_operation_xyz
'x,y,z'
'x,-y,z'
'x+1/2,y+1/2,z'
'x+1/2,-y+1/2,z'
loop_
_atom_site_label
_atom_site_type_symbol
_atom_site_fract_x
_atom_site_fract_y
_atom_site_fract_z
Mn1 Mn 0.000 0.000 0.000
Cd1 Cd 0.250 0.500 0.236
W1 W 0.003 0.500 0.514
W2 W 0.260 0.000 0.745
```

---

The following is a PBE calculation of a geometry-optimized KCd2As structure, from Alexandria via LeMat-Bulk.

Computed properties:
- Total energy: -1.75 eV per atom
- Spin magnetization: 0.0 Bohr magnetons per cell
- DOS at the Fermi energy: 2.86 states/eV/cell

The structure in CIF format:
```
data_KCd2As
_space_group_name_H-M_alt 'C m m m'
_space_group_IT_number 65
_space_group_name_Hall '-C 2 2'
_cell_length_a 6.268
_cell_length_b 11.669
_cell_length_c 2.921
_cell_angle_alpha 90.00
_cell_angle_beta 90.00
_cell_angle_gamma 90.00
loop_
_atom_site_label
_atom_site_type_symbol
_atom_site_fract_x
_atom_site_fract_y
_atom_site_fract_z
K1 K 0.000 0.000 0.000
Cd1 Cd 0.250 0.250 0.500
As1 As 0.000 0.500 0.000
```

---

The following is a PBE calculation of a geometry-optimized La3Al2Os structure, from Alexandria via LeMat-Bulk.

Computed properties:
- Total energy: -5.81 eV per atom
- Spin magnetization: 0.0 Bohr magnetons per cell
- DOS at the Fermi energy: 19.42 states/eV/cell

The structure in CIF format:
```
data_La3Al2Os
_space_group_name_H-M_alt 'C 1 2/c 1'
_space_group_IT_number 15
_cell_length_a 10.360
_cell_length_b 8.947
_cell_length_c 7.655
_cell_angle_alpha 90.00
_cell_angle_beta 107.38
_cell_angle_gamma 90.00
loop_
_space_group_symop_operation_xyz
'x,y,z'
'-x,-y,-z'
'-x,y,-z+1/2'
'x,-y,z+1/2'
'x+1/2,y+1/2,z'
'-x+1/2,-y+1/2,-z'
'-x+1/2,y+1/2,-z+1/2'
'x+1/2,-y+1/2,z+1/2'
loop_
_atom_site_label
_atom_site_type_symbol
_atom_site_fract_x
_atom_site_fract_y
_atom_site_fract_z
La1 La 0.000 0.102 0.250
La2 La 0.161 0.424 0.972
Al1 Al 0.203 0.230 0.638
Os1 Os 0.000 0.212 0.750
```